No. 1
A plane-wave DFT calculation with GGA-PBE was carried out for a geometry-optimized Mg3ScSb structure.

a b c (Å): 5.364 5.364 5.364
angles (deg): 90.00 90.00 90.00
Space group Pm-3m (No. 221)
Inequivalent atoms, fractional coordinates:
Mg1 0.000 0.000 0.500 [3 per cell]
Sc1 0.500 0.500 0.500 [1 per cell]
Sb1 0.000 0.000 0.000 [1 per cell]

## Properties
As for the energy relative to the elements, uncorrected: 10.76 kcal/mol of atoms. Its total energy is -12.905 eV/f.u.

No. 2
A plane-wave DFT calculation with GGA-PBE was carried out for a geometry-optimized ZrRhSe2 structure.

a b c (Å): 3.858 3.858 9.619
angles (deg): 90.00 90.00 90.00
Space group I-4m2 (No. 119)
Inequivalent atoms, fractional coordinates:
Zr1 0.000 0.000 0.000 [2 per cell]
Rh1 0.000 0.500 0.750 [2 per cell]
Se1 0.000 0.000 0.500 [2 per cell]
Se2 0.000 0.500 0.250 [2 per cell]

## Properties
As for the energy relative to the elements, uncorrected: -12.93 kcal/mol of atoms. Its total energy is -25.112 eV/f.u.

No. 3
A plane-wave DFT calculation with GGA-PBE was carried out for a geometry-optimized TaAlCr2 structure.

a b c (Å): 2.8220 2.8220 25.4869
angles (deg): 90.00 90.00 120.00
Space group R3m (No. 160, hexagonal axes)
Inequivalent atoms, fractional coordinates:
Ta1 0.0000 0.0000 0.0000 [3 per cell]
Al1 0.0000 0.0000 0.2389 [3 per cell]
Cr1 0.0000 0.0000 0.4881 [3 per cell]
Cr2 0.0000 0.0000 0.7569 [3 per cell]

## Properties
Its total energy is -33.971 eV/f.u.

No. 4
A plane-wave DFT calculation with GGA-PBE was carried out for a geometry-optimized Er4RuI5 structure.

a b c (Å): 19.388 4.082 8.964
angles (deg): 90.00 102.74 90.00
Space group C2/m (No. 12)
Inequivalent atoms, fractional coordinates:
Er1 0.000 0.000 0.203 [4 per cell]
Er2 0.138 0.500 0.071 [4 per cell]
Ru1 0.000 0.500 0.000 [2 per cell]
I1 0.000 0.500 0.500 [2 per cell]
I2 0.168 0.000 0.339 [4 per cell]
I3 0.177 0.000 0.834 [4 per cell]

## Properties
As for the energy relative to the elements, uncorrected: -23.72 kcal/mol of atoms. Its total energy is -45.564 eV/f.u.